[1]
The following is a DFT calculation (PBE) of BaTcSe3 after structural relaxation.

The space group is Pm-3m (No. 221) and the conventional cell measures 5.9143, 5.9143 and 5.9143 Å, with angles of 90.00, 90.00 and 90.00 degrees. The distinct sites, in fractional coordinates, are Ba at (0.0000, 0.0000, 0.0000), Tc at (0.5000, 0.5000, 0.5000) and Se at (0.0000, 0.0000, 0.5000).

The volume is 41.38 Å³/atom. The total energy is -17.409 eV per cell. The energy relative to the elements, uncorrected comes out at 1.067 eV per atom. As for the density of states at the Fermi level: 11.28 states/eV/f.u.

[2]
The following is a DFT calculation (PBE) of BaTc4Se after structural relaxation.

The space group is F-43m (No. 216) and the conventional cell measures 7.7170, 7.7170 and 7.7170 Å, with angles of 90.00, 90.00 and 90.00 degrees. The distinct sites, in fractional coordinates, are Ba at (0.0000, 0.0000, 0.0000), Tc at (0.1228, 0.1228, 0.3772) and Se at (0.2500, 0.2500, 0.7500).

The volume is 19.15 Å³/atom. The total energy is -167.447 eV per cell. The energy relative to the elements, uncorrected comes out at 0.835 eV per atom. As for the density of states at the Fermi level: 7.00 states/eV/f.u.

[3]
The following is a DFT calculation (PBE) of BaTc2Se after structural relaxation.

The space group is Immm (No. 71) and the conventional cell measures 3.0868, 5.3596 and 9.9663 Å, with angles of 90.00, 90.00 and 90.00 degrees. The distinct sites, in fractional coordinates, are Ba at (0.0000, 0.0000, 0.0000), Tc at (0.0000, 0.5000, 0.2080) and Se at (0.0000, 0.0000, 0.5000).

The volume is 20.61 Å³/atom. The total energy is -46.820 eV per cell. The energy relative to the elements, uncorrected comes out at 0.682 eV per atom. As for the density of states at the Fermi level: 5.82 states/eV/f.u.

[4]
The following is a DFT calculation (PBE) of Ba2TcSe after structural relaxation.

The space group is Cmmm (No. 65) and the conventional cell measures 8.0657, 8.0732 and 3.9000 Å, with angles of 90.00, 90.00 and 90.00 degrees. The distinct sites, in fractional coordinates, are Ba at (0.2500, 0.2500, 0.0000), Tc at (0.0000, 0.0000, 0.5000) and Se at (0.0000, 0.5000, 0.5000).

The volume is 31.74 Å³/atom. The total energy is -35.985 eV per cell. The energy relative to the elements, uncorrected comes out at -0.074 eV per atom. As for the density of states at the Fermi level: 3.03 states/eV/f.u.

[5]
The following is a DFT calculation (PBE) of BaTc2Se after structural relaxation.

The space group is C2/m (No. 12) and the conventional cell measures 5.8696, 9.8982 and 4.2079 Å, with angles of 90.00, 133.95 and 90.00 degrees. The distinct sites, in fractional coordinates, are Ba at (0.0000, 0.0000, 0.0000), Tc at (0.2500, 0.2500, 0.5000) and Se at (0.0000, 0.5000, 0.0000).

The volume is 22.00 Å³/atom. The total energy is -45.368 eV per cell. The energy relative to the elements, uncorrected comes out at 0.864 eV per atom. As for the density of states at the Fermi level: 5.22 states/eV/f.u.

[6]
The following is a DFT calculation (PBE) of BaTc2Se after structural relaxation.

The space group is Pm (No. 6) and the conventional cell measures 3.8818, 4.0349 and 6.3135 Å, with angles of 90.00, 97.14 and 90.00 degrees. The distinct sites, in fractional coordinates, are Ba at (0.0000, 0.0000, 0.0000), Tc at (0.0945, 0.5000, 0.5348), Tc at (0.4343, 0.0000, 0.5402) and Se at (0.5585, 0.5000, 0.2833).

The volume is 24.53 Å³/atom. The total energy is -25.884 eV per cell. The energy relative to the elements, uncorrected comes out at 0.064 eV per atom. As for the density of states at the Fermi level: 2.50 states/eV/f.u.

[7]
The following is a DFT calculation (PBE) of Ba2TcSe after structural relaxation.

The space group is Amm2 (No. 38) and the conventional cell measures 4.4854, 4.9228 and 11.3883 Å, with angles of 90.00, 90.00 and 90.00 degrees. The distinct sites, in fractional coordinates, are Ba at (0.0000, 0.0000, 0.0000), Ba at (0.5000, 0.0000, 0.2867), Tc at (0.5000, 0.0000, 0.6006) and Se at (0.0000, 0.0000, 0.6974).

The volume is 31.43 Å³/atom. The total energy is -37.304 eV per cell. The energy relative to the elements, uncorrected comes out at -0.239 eV per atom. As for the density of states at the Fermi level: 3.72 states/eV/f.u.

[8]
The following is a DFT calculation (PBE) of BaTc2Se after structural relaxation.

The space group is Pmmm (No. 47) and the conventional cell measures 3.2548, 5.0613 and 5.3344 Å, with angles of 90.00, 90.00 and 90.00 degrees. The distinct sites, in fractional coordinates, are Ba at (0.0000, 0.0000, 0.0000), Tc at (0.0000, 0.5000, 0.5000), Tc at (0.5000, 0.0000, 0.5000) and Se at (0.5000, 0.5000, 0.0000).

The volume is 21.97 Å³/atom. The total energy is -22.578 eV per cell. The energy relative to the elements, uncorrected comes out at 0.890 eV per atom. As for the density of states at the Fermi level: 4.55 states/eV/f.u.

[9]
The following is a DFT calculation (PBE) of BaTcSe after structural relaxation.

The space group is I4mm (No. 107) and the conventional cell measures 3.4167, 3.4167 and 12.0702 Å, with angles of 90.00, 90.00 and 90.00 degrees. The distinct sites, in fractional coordinates, are Ba at (0.0000, 0.0000, 0.0000), Tc at (0.0000, 0.0000, 0.7032) and Se at (0.0000, 0.0000, 0.2839).

The volume is 23.48 Å³/atom. The total energy is -31.959 eV per cell. The energy relative to the elements, uncorrected comes out at -0.069 eV per atom. As for the density of states at the Fermi level: 3.53 states/eV/f.u.

[10]
The following is a DFT calculation (PBE) of BaTc2Se after structural relaxation.

The space group is I4_1/amd (No. 141, origin choice 2) and the conventional cell measures 4.8602, 4.8602 and 17.7365 Å, with angles of 90.00, 90.00 and 90.00 degrees. The distinct sites, in fractional coordinates, are Ba at (0.0000, 0.2500, 0.3750), Tc at (0.0000, 0.0000, 0.0000) and Se at (0.0000, 0.2500, 0.8750).

The volume is 26.18 Å³/atom. The total energy is -100.506 eV per cell. The energy relative to the elements, uncorrected comes out at 0.253 eV per atom. As for the density of states at the Fermi level: 4.87 states/eV/f.u.

[11]
The following is a DFT calculation (PBE) of BaTcSe2 after structural relaxation.

The space group is P4mm (No. 99) and the conventional cell measures 4.0363, 4.0363 and 7.2473 Å, with angles of 90.00, 90.00 and 90.00 degrees. The distinct sites, in fractional coordinates, are Ba at (0.0000, 0.0000, 0.0000), Tc at (0.5000, 0.5000, 0.5283), Se at (0.0000, 0.0000, 0.5540) and Se at (0.5000, 0.5000, 0.1766).

The volume is 29.52 Å³/atom. The total energy is -20.689 eV per cell. The energy relative to the elements, uncorrected comes out at -0.358 eV per atom. As for the density of states at the Fermi level: 1.86 states/eV/f.u.

[12]
The following is a DFT calculation (PBE) of BaTc2Se after structural relaxation.

The space group is Cmmm (No. 65) and the conventional cell measures 3.3483, 5.5443 and 8.9272 Å, with angles of 90.00, 90.00 and 90.00 degrees. The distinct sites, in fractional coordinates, are Ba at (0.0000, 0.0000, 0.0000), Tc at (0.0000, 0.5000, 0.3023) and Se at (0.0000, 0.0000, 0.5000).

The volume is 20.72 Å³/atom. The total energy is -44.455 eV per cell. The energy relative to the elements, uncorrected comes out at 0.978 eV per atom. As for the density of states at the Fermi level: 4.65 states/eV/f.u.

[13]
The following is a DFT calculation (PBE) of BaTcSe2 after structural relaxation.

The space group is I-42d (No. 122) and the conventional cell measures 6.2599, 6.2599 and 12.9229 Å, with angles of 90.00, 90.00 and 90.00 degrees. The distinct sites, in fractional coordinates, are Ba at (0.0000, 0.0000, 0.0000), Tc at (0.0000, 0.0000, 0.5000) and Se at (0.1420, 0.2500, 0.6250).

The volume is 31.65 Å³/atom. The total energy is -86.365 eV per cell. The energy relative to the elements, uncorrected comes out at -0.583 eV per atom. As for the density of states at the Fermi level: 3.27 states/eV/f.u.